Density functional theory data (PBE) for a geometry-optimized LiMnIr2 structure.

## Properties
As for the energy of formation: -0.0782 eV per atom.

a b c (Å): 4.6813 4.6813 4.6813
angles (deg): 133.45 133.45 67.95
Element x y z (fractional)
Li: 0.0000 0.0000 0.0000
Mn: 0.2500 0.7500 0.5000
Ir: 0.5000 0.5000 0.0000
Ir: 0.7500 0.2500 0.5000